(1)
# Lu2MnSe4 meta-GGA SCAN PBEsol geometry
# crystal system: cubic
# SG: Fd-3m (227)
# electronic total energy: -443.1 eV per cell
# uncorrected formation energy: -1759 meV per atom
data_Lu2MnSe4
_symmetry_space_group_name_H-M 'P 1'
_symmetry_Int_Tables_number 1
_cell_length_a 7.956
_cell_length_b 7.956
_cell_length_c 7.956
_cell_angle_alpha 60.00
_cell_angle_beta 60.00
_cell_angle_gamma 60.00
loop_
_symmetry_equiv_pos_as_xyz
'x,y,z'
loop_
_atom_site_label
_atom_site_fract_x
_atom_site_fract_y
_atom_site_fract_z
Lu1 0.000 0.000 0.000
Lu2 0.000 0.000 0.500
Lu3 0.000 0.500 0.000
Lu4 0.500 0.000 0.000
Mn1 0.375 0.375 0.375
Mn2 0.625 0.625 0.625
Se1 0.239 0.754 0.754
Se2 0.246 0.246 0.246
Se3 0.246 0.246 0.761
Se4 0.246 0.761 0.246
Se5 0.754 0.239 0.754
Se6 0.754 0.754 0.239
Se7 0.754 0.754 0.754
Se8 0.761 0.246 0.246

=====

(2)
# AsIr2Pb meta-GGA SCAN PBEsol geometry
# formation energy: 0.544 eV per atom
# crystal system: monoclinic
# SG: P2/m (10)
# electronic total energy: -236.0 eV per cell
data_AsIr2Pb
_symmetry_space_group_name_H-M 'P 1'
_symmetry_Int_Tables_number 1
_cell_length_a 4.552
_cell_length_b 3.073
_cell_length_c 5.248
_cell_angle_alpha 90.00
_cell_angle_beta 112.15
_cell_angle_gamma 90.00
loop_
_symmetry_equiv_pos_as_xyz
'x,y,z'
loop_
_atom_site_label
_atom_site_fract_x
_atom_site_fract_y
_atom_site_fract_z
As1 0.000 0.000 0.000
Ir1 0.500 0.000 0.500
Ir2 0.500 0.500 0.000
Pb1 0.000 0.500 0.500

=====

(3)
# KTiP2O7 meta-GGA SCAN PBEsol geometry
# crystal system: monoclinic
# SG: P2_1/c (14)
# electronic total energy: -475.1 eV per cell
# uncorrected formation energy: -2726 meV per atom
data_KTiP2O7
_symmetry_space_group_name_H-M 'P 1'
_symmetry_Int_Tables_number 1
_cell_length_a 7.395
_cell_length_b 10.265
_cell_length_c 8.248
_cell_angle_alpha 90.00
_cell_angle_beta 106.57
_cell_angle_gamma 90.00
loop_
_symmetry_equiv_pos_as_xyz
'x,y,z'
loop_
_atom_site_label
_atom_site_fract_x
_atom_site_fract_y
_atom_site_fract_z
K1 0.176 0.175 0.056
K2 0.176 0.325 0.556
K3 0.824 0.675 0.444
K4 0.824 0.825 0.944
Ti1 0.235 0.600 0.261
Ti2 0.235 0.900 0.761
Ti3 0.765 0.100 0.239
Ti4 0.765 0.400 0.739
P1 0.134 0.598 0.829
P2 0.134 0.902 0.329
P3 0.445 0.640 0.692
P4 0.445 0.860 0.192
P5 0.555 0.140 0.808
P6 0.555 0.360 0.308
P7 0.866 0.098 0.671
P8 0.866 0.402 0.171
O1 0.005 0.005 0.222
O2 0.005 0.495 0.722
O3 0.079 0.734 0.754
O4 0.079 0.766 0.254
O5 0.146 0.591 0.015
O6 0.146 0.909 0.515
O7 0.322 0.611 0.513
O8 0.322 0.889 0.013
O9 0.344 0.564 0.815
O10 0.344 0.936 0.315
O11 0.358 0.082 0.771
O12 0.358 0.418 0.271
O13 0.457 0.716 0.241
O14 0.457 0.784 0.741
O15 0.543 0.216 0.259
O16 0.543 0.284 0.759
O17 0.642 0.582 0.729
O18 0.642 0.918 0.229
O19 0.656 0.064 0.685
O20 0.656 0.436 0.185
O21 0.678 0.111 0.987
O22 0.678 0.389 0.487
O23 0.854 0.091 0.485
O24 0.854 0.409 0.985
O25 0.921 0.234 0.746
O26 0.921 0.266 0.246
O27 0.995 0.505 0.278
O28 0.995 0.995 0.778

=====

(4)
# SrTa2W meta-GGA SCAN PBEsol geometry
# formation energy: 1.091 eV per atom
# crystal system: cubic
# SG: Fm-3m (225)
# electronic total energy: -220.8 eV per cell
data_SrTa2W
_symmetry_space_group_name_H-M 'P 1'
_symmetry_Int_Tables_number 1
_cell_length_a 4.779
_cell_length_b 4.779
_cell_length_c 4.779
_cell_angle_alpha 60.00
_cell_angle_beta 60.00
_cell_angle_gamma 60.00
loop_
_symmetry_equiv_pos_as_xyz
'x,y,z'
loop_
_atom_site_label
_atom_site_fract_x
_atom_site_fract_y
_atom_site_fract_z
Sr1 0.000 0.000 0.000
Ta1 0.250 0.250 0.250
Ta2 0.750 0.750 0.750
W1 0.500 0.500 0.500

=====

(5)
# Mn2As2O7 meta-GGA SCAN PBEsol geometry
# crystal system: triclinic
# SG: P1 (1)
# electronic total energy: -138.8 eV per cell
# uncorrected formation energy: -1660 meV per atom
data_Mn2As2O7
_symmetry_space_group_name_H-M 'P 1'
_symmetry_Int_Tables_number 1
_cell_length_a 4.874
_cell_length_b 5.475
_cell_length_c 5.475
_cell_angle_alpha 106.71
_cell_angle_beta 97.03
_cell_angle_gamma 97.04
loop_
_symmetry_equiv_pos_as_xyz
'x,y,z'
loop_
_atom_site_label
_atom_site_fract_x
_atom_site_fract_y
_atom_site_fract_z
Mn1 0.000 0.000 0.000
Mn2 0.000 0.386 0.614
As1 0.409 0.922 0.536
As2 0.605 0.446 0.061
O1 0.213 0.085 0.378
O2 0.213 0.765 0.700
O3 0.261 0.318 0.932
O4 0.586 0.717 0.334
O5 0.704 0.121 0.736
O6 0.790 0.287 0.236
O7 0.790 0.622 0.902

=====

(6)
# TbAu6 meta-GGA SCAN PBEsol geometry
# formation energy: -0.512 eV per atom
# crystal system: tetragonal
# SG: P4_2/ncm (138)
# electronic total energy: -3722.3 eV per cell
data_TbAu6
_symmetry_space_group_name_H-M 'P 1'
_symmetry_Int_Tables_number 1
_cell_length_a 10.295
_cell_length_b 10.295
_cell_length_c 9.707
_cell_angle_alpha 90.00
_cell_angle_beta 90.00
_cell_angle_gamma 90.00
loop_
_symmetry_equiv_pos_as_xyz
'x,y,z'
loop_
_atom_site_label
_atom_site_fract_x
_atom_site_fract_y
_atom_site_fract_z
Tb1 0.074 0.074 0.212
Tb2 0.074 0.426 0.712
Tb3 0.426 0.074 0.712
Tb4 0.426 0.426 0.212
Tb5 0.574 0.574 0.788
Tb6 0.574 0.926 0.288
Tb7 0.926 0.574 0.288
Tb8 0.926 0.926 0.788
Au1 0.000 0.000 0.500
Au2 0.000 0.500 0.000
Au3 0.013 0.681 0.579
Au4 0.013 0.819 0.079
Au5 0.123 0.699 0.855
Au6 0.123 0.801 0.355
Au7 0.148 0.148 0.679
Au8 0.148 0.352 0.179
Au9 0.181 0.513 0.421
Au10 0.181 0.987 0.921
Au11 0.199 0.623 0.145
Au12 0.199 0.877 0.645
Au13 0.250 0.250 0.433
Au14 0.250 0.250 0.933
Au15 0.301 0.623 0.645
Au16 0.301 0.877 0.145
Au17 0.319 0.513 0.921
Au18 0.319 0.987 0.421
Au19 0.352 0.148 0.179
Au20 0.352 0.352 0.679
Au21 0.377 0.699 0.355
Au22 0.377 0.801 0.855
Au23 0.487 0.681 0.079
Au24 0.487 0.819 0.579
Au25 0.500 0.000 0.000
Au26 0.500 0.500 0.500
Au27 0.513 0.181 0.421
Au28 0.513 0.319 0.921
Au29 0.623 0.199 0.145
Au30 0.623 0.301 0.645
Au31 0.648 0.648 0.321
Au32 0.648 0.852 0.821
Au33 0.681 0.013 0.579
Au34 0.681 0.487 0.079
Au35 0.699 0.123 0.855
Au36 0.699 0.377 0.355
Au37 0.750 0.750 0.067
Au38 0.750 0.750 0.567
Au39 0.801 0.123 0.355
Au40 0.801 0.377 0.855
Au41 0.819 0.013 0.079
Au42 0.819 0.487 0.579
Au43 0.852 0.648 0.821
Au44 0.852 0.852 0.321
Au45 0.877 0.199 0.645
Au46 0.877 0.301 0.145
Au47 0.987 0.181 0.921
Au48 0.987 0.319 0.421

=====

(7)
# Ca2LaCl meta-GGA SCAN PBEsol geometry
# crystal system: trigonal
# SG: R-3m (166)
# electronic total energy: -74.0 eV per cell
# uncorrected formation energy: -904 meV per atom
data_Ca2LaCl
_symmetry_space_group_name_H-M 'P 1'
_symmetry_Int_Tables_number 1
_cell_length_a 10.381
_cell_length_b 10.381
_cell_length_c 10.381
_cell_angle_alpha 20.67
_cell_angle_beta 20.67
_cell_angle_gamma 20.67
loop_
_symmetry_equiv_pos_as_xyz
'x,y,z'
loop_
_atom_site_label
_atom_site_fract_x
_atom_site_fract_y
_atom_site_fract_z
Ca1 0.234 0.234 0.234
Ca2 0.766 0.766 0.766
La1 0.000 0.000 0.000
Cl1 0.500 0.500 0.500

=====

(8)
# TaBiPS2 meta-GGA SCAN PBEsol geometry
# crystal system: tetragonal
# SG: P4/mmm (123)
# electronic total energy: -175.2 eV per cell
# uncorrected formation energy: -67 meV per atom
data_TaBiPS2
_symmetry_space_group_name_H-M 'P 1'
_symmetry_Int_Tables_number 1
_cell_length_a 4.661
_cell_length_b 4.661
_cell_length_c 5.027
_cell_angle_alpha 90.00
_cell_angle_beta 90.00
_cell_angle_gamma 90.00
loop_
_symmetry_equiv_pos_as_xyz
'x,y,z'
loop_
_atom_site_label
_atom_site_fract_x
_atom_site_fract_y
_atom_site_fract_z
Ta1 0.000 0.000 0.000
Bi1 0.500 0.500 0.500
P1 0.000 0.000 0.500
S1 0.000 0.500 0.000
S2 0.500 0.000 0.000